No. 1
The following is a PBE calculation of a relaxed structure of CeTlPb2S4, from Alexandria.

Geometry as POSCAR:
```
CeTlPb2S4
1.0
-3.010 3.010 6.021
3.010 -3.010 6.021
3.010 3.010 -6.021
Ce Tl Pb S
1 1 2 4
Direct
0.000 0.000 0.000
0.750 0.250 0.500
0.250 0.750 0.500
0.500 0.500 0.000
0.007 0.507 0.500
0.233 0.233 0.000
0.493 0.993 0.500
0.767 0.767 0.000
```

Values from the calculation:
formation energy (no corrections): -0.877 eV/atom
final energy: -4.906 eV/atom
symmetry: I-4m2 (119)



No. 2
The following is a PBE calculation of a relaxed structure of NaLaZnF6, from Alexandria.

Geometry as POSCAR:
```
NaLaZnF6
1.0
5.906 0.000 0.000
-2.953 5.115 0.000
0.000 0.000 9.205
Na La Zn F
2 2 2 12
Direct
0.000 0.000 0.000
0.000 0.000 0.500
0.333 0.667 0.250
0.667 0.333 0.750
0.333 0.667 0.750
0.667 0.333 0.250
0.035 0.367 0.631
0.035 0.668 0.869
0.332 0.367 0.869
0.332 0.965 0.631
0.367 0.035 0.131
0.367 0.332 0.369
0.633 0.668 0.631
0.633 0.965 0.869
0.668 0.035 0.369
0.668 0.633 0.131
0.965 0.332 0.131
0.965 0.633 0.369
```

Values from the calculation:
formation energy (no corrections): -3.163 eV/atom
final energy: -5.247 eV/atom
symmetry: P-31c (163)



Q: Among the records above, which one has the lowest final energy?
A: NaLaZnF6



Q: final energy of number 2 (NaLaZnF6)?
A: -5.247 eV/atom



Q: Which value of formation energy (no corrections) does entry 1 give?
A: -0.877 eV/atom